# Tb2SmN2

A geometry-optimized Tb2SmN2 structure (PBE, Alexandria).

Values from the calculation:
formation energy (no corrections): -6.2 eV per formula unit
total magnetic moment: 0.00 μB/cell
E_tot: -7.3717 eV per atom

Lattice parameters (Å, degrees): 4.971 6.159 7.946 59.88 71.77 66.20
Fractional coordinates of all 10 atoms:
1 Tb 0.994 0.280 0.731
2 N 0.163 0.252 0.421
3 Sm 0.658 0.778 0.907
4 N 0.498 0.747 0.257
5 Tb 0.006 0.720 0.269
6 N 0.837 0.748 0.579
7 Tb 0.338 0.753 0.571
8 Tb 0.662 0.247 0.429
9 Sm 0.342 0.222 0.093
10 N 0.502 0.253 0.743